Entry 1:
LuMgReTe: optimized geometry, GGA-PBE.

Calculated values
Excess energy over the best structure of this formula in the dataset, eV/atom: 0.000
SG: F-43m (216)
Raw total energy, eV for the cell shown: -20.691

Cell lengths 4.8225, 4.8225, 4.8225 Å; angles 60.00, 60.00, 60.00 degrees
Last column: nearest neighbours and their distance in Å.
Atoms (fractional coordinates):
1 Re 0.5000 0.5000 0.5000  4 Te 2.95, 4 Mg 2.95
2 Lu 0.0000 0.0000 0.0000  4 Te 2.95, 4 Mg 2.95
3 Te 0.2500 0.2500 0.2500  4 Re 2.95, 4 Lu 2.95
4 Mg 0.7500 0.7500 0.7500  4 Re 2.95, 4 Lu 2.95



Entry 2:
Au2I: optimized geometry, GGA-PBE.

Calculated values
Excess energy over the best structure of this formula in the dataset, eV/atom: 0.256
SG: P4_2/mnm (136)
Raw total energy, eV for the cell shown: -12.383

Cell lengths 6.5399, 6.5399, 4.2739 Å; angles 90.00, 90.00, 90.00 degrees
Last column: nearest neighbours and their distance in Å.
Atoms (fractional coordinates):
1 Au 0.2045 0.7955 0.5000  3 I 2.73-2.85
2 Au 0.7955 0.2045 0.5000  3 I 2.73-2.85
3 Au 0.7045 0.7045 0.0000  3 I 2.73-2.85
4 Au 0.2955 0.2955 0.0000  3 I 2.73-2.85
5 I 0.5000 0.5000 0.5000  6 Au 2.73-2.85
6 I 0.0000 0.0000 0.0000  6 Au 2.73-2.85



Entry 3:
YHoGe2Pd: optimized geometry, GGA-PBE.

Calculated values
SG: C2/m (12)
Raw total energy, eV for the cell shown: -60.290

Cell lengths 5.7127, 5.7127, 10.2882 Å; angles 115.14, 115.14, 44.59 degrees
Last column: nearest neighbours and their distance in Å.
Atoms (fractional coordinates):
1 Ge 0.3617 0.3617 0.4328  3 Pd 2.53-2.78, 1 Ge 2.60
2 Ge 0.6383 0.6383 0.5672  3 Pd 2.53-2.78, 1 Ge 2.60
3 Ge 0.4744 0.4744 0.1159  1 Pd 2.63, 1 Ge 2.68
4 Ge 0.5256 0.5256 0.8841  1 Pd 2.63, 1 Ge 2.68
5 Pd 0.2761 0.2761 0.6509  4 Ge 2.53-2.78
6 Pd 0.7239 0.7239 0.3491  4 Ge 2.53-2.78
7 Y 0.1854 0.1854 0.1077  6 Ge 2.99-3.14, 2 Pd 3.18
8 Y 0.8146 0.8146 0.8923  6 Ge 2.99-3.14, 2 Pd 3.18
9 Ho 0.0097 0.0097 0.3295  6 Ge 2.99-3.13, 4 Pd 3.07-3.21
10 Ho 0.9903 0.9903 0.6705  6 Ge 2.99-3.13, 4 Pd 3.07-3.21



Entry 4:
YPuTl: optimized geometry, GGA-PBE.

Calculated values
Excess energy over the best structure of this formula in the dataset, eV/atom: 0.000
SG: F-43m (216)
Raw total energy, eV for the cell shown: -22.456

Cell lengths 5.2522, 5.2522, 5.2522 Å; angles 60.00, 60.00, 60.00 degrees
Last column: nearest neighbours and their distance in Å.
Atoms (fractional coordinates):
1 Tl 0.0000 0.0000 0.0000  4 Y 3.22, 4 Pu 3.22
2 Pu 0.2500 0.2500 0.2500  4 Tl 3.22
3 Y 0.7500 0.7500 0.7500  4 Tl 3.22